An optimized crystal structure of RbLaHS, computed with PBE-GGA.

Values from the calculation:
Polymorph energy (0 for the lowest one) ... 110 meV/atom
Calculated total energy ... -4.257 eV/atom

Lattice parameters (Å, degrees): 4.3957 4.3957 22.3058 90.00 90.00 120.00
Last column: nearest neighbours and their distance in Å.
Space group R3m (No. 160, hexagonal axes)
Inequivalent atoms, fractional coordinates:
Rb  0.0000  0.0000  0.0000 [3 per cell]  3 H 2.87
La  0.0000  0.0000  0.4959 [3 per cell]  1 H 2.28
H  0.0000  0.0000  0.3938 [3 per cell]  1 La 2.28
S  0.0000  0.0000  0.2208 [3 per cell]  3 La 2.85